Compound: MnS2ClO
Source: Alexandria
Functional: PBE with a Hubbard U
Structure: optimized geometry

## Properties
Its magnetization is 4.632 μB per cell. The value obtained for the energy above the most stable polymorph in this dataset is 0.0 meV per atom. The value obtained for the final energy is -4.319 eV/atom.

```
data_MnS2ClO
_symmetry_space_group_name_H-M 'P 1'
_symmetry_Int_Tables_number 1
_cell_length_a 3.892
_cell_length_b 3.892
_cell_length_c 5.717
_cell_angle_alpha 90.00
_cell_angle_beta 90.00
_cell_angle_gamma 90.00
loop_
_symmetry_equiv_pos_as_xyz
'x,y,z'
loop_
_atom_site_label
_atom_site_fract_x
_atom_site_fract_y
_atom_site_fract_z
O1 0.000 0.000 0.000
S1 0.000 0.500 0.000
S2 0.500 0.000 0.000
Mn1 0.500 0.500 0.500
Cl1 0.000 0.000 0.500
```